SrH3S at its PBEsol-relaxed geometry. Source: the Alexandria database, functional SCAN.

Unit cell a=3.877 b=3.877 c=3.877 alpha=90.00 beta=90.00 gamma=90.00
Space group Pm-3m (No. 221)
Unique sites:
Sr  0.000  0.000  0.000 x1
H  0.000  0.500  0.500 x3
S  0.500  0.500  0.500 x1

Output
**Raw total energy**: -8.26 eV/atom
**Volume**: 58 Å³ per cell

***

MgTlF3 at its PBEsol-relaxed geometry. Source: the Alexandria database, functional SCAN.

Unit cell a=4.072 b=4.072 c=4.072 alpha=90.00 beta=90.00 gamma=90.00
Space group Pm-3m (No. 221)
Unique sites:
Mg  0.000  0.000  0.000 x1
Tl  0.500  0.500  0.500 x1
F  0.000  0.000  0.500 x3

Output
**Raw total energy**: -20.62 eV/atom
**Volume**: 68 Å³ per cell
**ΔE_f (raw)**: -3026 meV/atom

***

HfIn2Pt at its PBEsol-relaxed geometry. Source: the Alexandria database, functional SCAN.

Unit cell a=6.731 b=6.731 c=6.731 alpha=90.00 beta=90.00 gamma=90.00
Space group Fm-3m (No. 225)
Unique sites:
Hf  0.000  0.000  0.000 x4
In  0.250  0.250  0.250 x8
Pt  0.000  0.000  0.500 x4

Output
**Raw total energy**: -50.07 eV/atom
**Volume**: 305 Å³ per cell
**E_form**: -0.16 eV/atom